(1)
Here is crystalline SmMgAu at its relaxed geometry from the Alexandria database. Energies are from GGA-PBE.

Computed properties:
SG: F-43m
N(E_F) in states/eV per cell: 4.43
Energy of formation in eV/atom: -0.495
Magnetic moment in μB per cell: 0.2

a = 4.8593 Å, b = 4.8593 Å, c = 4.8593 Å
α = 60.00°, β = 60.00°, γ = 60.00°
With the nearest neighbours (Å) after each atom.
Sites, in units of the cell vectors:
Mg  0.5000  0.5000  0.5000  4 Au 2.98
Au  0.2500  0.2500  0.2500  4 Sm 2.98, 4 Mg 2.98
Sm  0.0000  0.0000  0.0000  4 Au 2.98

---

(2)
Here is crystalline Sm4Mg3Au at its relaxed geometry from the Alexandria database. Energies are from GGA-PBE.

Computed properties:
SG: P4/mmm
N(E_F) in states/eV per cell: 8.35
Energy of formation in eV/atom: -0.274
Magnetic moment in μB per cell: 0.0

a = 3.8050 Å, b = 3.8050 Å, c = 15.1177 Å
α = 90.00°, β = 90.00°, γ = 90.00°
With the nearest neighbours (Å) after each atom.
Sites, in units of the cell vectors:
Mg  0.5000  0.5000  0.2465  8 Sm 3.28-3.35
Mg  0.5000  0.5000  0.5000  8 Sm 3.33
Mg  0.5000  0.5000  0.7535  8 Sm 3.28-3.35
Au  0.5000  0.5000  0.0000  8 Sm 3.20
Sm  0.0000  0.0000  0.8853  4 Au 3.20, 4 Mg 3.35, 1 Sm 3.47
Sm  0.0000  0.0000  0.1147  4 Au 3.20, 4 Mg 3.35, 1 Sm 3.47
Sm  0.0000  0.0000  0.3707  8 Mg 3.28-3.33
Sm  0.0000  0.0000  0.6293  8 Mg 3.28-3.33

---

Q: What is the magnetic moment in the first record?
A: 0.2 μB per cell